# La2PW

A relaxed structure of La2PW (PBEsol, Alexandria via LeMat-Bulk).

Geometry as extended XYZ:
```
4
Lattice="4.8990 0.0000 0.0000 2.4495 4.2426 0.0000 2.4495 1.4142 4.0000" Properties=species:S:1:pos:R:3 pbc="T T T"
W 2.4495 1.4142 1.0000
P 4.8990 2.8284 2.0000
La 7.3484 4.2426 3.0000
La 0.0000 0.0000 0.0000
```

Values from the calculation:
**Energy above the most stable polymorph in this dataset**: 99 meV/atom
**Fermi-level density of states**: 1.7039 states/eV/atom
**Energy of formation**: 309 meV per atom
**Final energy**: -7.264 eV per atom
**Space group**: F-43m

# Nd2Mg

A relaxed structure of Nd2Mg (PBEsol, Alexandria via LeMat-Bulk).

Geometry as extended XYZ:
```
3
Lattice="3.6376 0.0000 0.0000 0.0000 3.6376 0.0000 -1.8188 -1.8188 6.8115" Properties=species:S:1:pos:R:3 pbc="T T T"
Nd 0.0000 0.0000 4.6300
Nd 1.8188 1.8188 2.1815
Mg 0.0000 0.0000 0.0000
```

Values from the calculation:
**Energy above the most stable polymorph in this dataset**: 4 meV/atom
**Fermi-level density of states**: 1.1383 states/eV/atom
**Energy of formation**: -52 meV per atom
**Final energy**: -4.068 eV per atom
**Space group**: I4/mmm

# La2CdRh

A relaxed structure of La2CdRh (PBEsol, Alexandria via LeMat-Bulk).

Geometry as extended XYZ:
```
4
Lattice="3.7215 0.0000 0.0000 0.0000 3.8660 0.0314 0.0000 -1.0032 7.0698" Properties=species:S:1:pos:R:3 pbc="T T T"
Rh 1.8607 1.4314 3.5506
La 0.0000 0.0222 1.9971
La 0.0000 2.8405 5.1041
Cd 1.8607 1.9330 0.0157
```

Values from the calculation:
**Fermi-level density of states**: 0.7842 states/eV/atom
**Energy of formation**: -460 meV per atom
**Final energy**: -5.467 eV per atom
**Space group**: P2/m

# La3GdBr4O4

A relaxed structure of La3GdBr4O4 (PBEsol, Alexandria via LeMat-Bulk).

Geometry as extended XYZ:
```
12
Lattice="-0.6056 -3.0686 2.5837 -2.3757 -1.8311 -2.7316 11.7901 -7.0064 -5.5576" Properties=species:S:1:pos:R:3 pbc="T T T"
La 4.8846 -2.9027 -2.3025
La 5.3292 -6.5026 -3.2887
La 10.8965 -6.4754 -5.1364
Br 8.0378 -4.7765 -3.7888
Br 8.2138 -8.2168 -4.6484
Br 2.1156 -1.2572 -0.9973
Br 2.2094 -4.6486 -1.8181
O -1.1174 -0.9574 -1.3990
O -0.2324 -1.5762 1.2586
O 5.5565 -5.0162 -1.4701
O 4.6714 -4.3975 -4.1277
Gd -0.5585 -3.0038 -0.5134
```

Values from the calculation:
**Fermi-level density of states**: 0.0000 states/eV/atom
**Final energy**: -7.905 eV per atom
**Space group**: P4mm

# ReIr2Os

A relaxed structure of ReIr2Os (PBEsol, Alexandria via LeMat-Bulk).

Geometry as extended XYZ:
```
4
Lattice="-1.4709 0.1200 2.2664 -3.9416 -0.1461 -2.5504 1.3996 -4.4701 -0.4687" Properties=species:S:1:pos:R:3 pbc="T T T"
Os -0.7355 0.0600 1.1332
Ir -3.3621 -2.2547 -0.4490
Ir -0.6509 -2.2416 -0.3038
Re -1.9708 -0.0731 -1.2752
```

Values from the calculation:
**Fermi-level density of states**: 0.7069 states/eV/atom
**Energy of formation**: -42 meV per atom
**Final energy**: -11.341 eV per atom
**Space group**: C2/m

# BaLiBS3

A relaxed structure of BaLiBS3 (PBEsol, Alexandria via LeMat-Bulk).

Geometry as extended XYZ:
```
24
Lattice="-2.1337 -5.4702 4.6549 8.2289 -0.2184 -2.4788 2.1652 4.9044 6.7559" Properties=species:S:1:pos:R:3 pbc="T T T"
S 3.1911 -1.7906 5.5777
S 4.6857 -3.2044 2.5321
S 2.0491 0.5708 2.7264
S 7.3702 -1.4347 -1.1161
S 5.0693 1.0064 3.3543
S 0.6884 1.1276 6.3403
S 0.8901 0.6505 10.0481
S 7.5719 -1.9118 2.5917
S 6.2113 -1.3549 6.2056
S 3.5747 2.4203 6.3999
S 4.1790 0.1502 0.4261
S 4.0813 -0.9344 8.5059
B 4.4713 -1.3238 6.7783
B 6.4405 -3.2020 2.0056
B 1.8198 2.4178 6.9264
B 3.7891 0.5396 2.1537
Ba 7.2085 0.9609 1.0470
Ba 1.5150 -2.8252 3.0156
Ba 6.7454 2.0410 5.9164
Ba 1.0519 -1.7451 7.8850
Li 6.6061 -0.6098 8.5073
Li 2.8017 0.5201 5.0577
Li 5.4587 -1.3043 3.8743
Li 1.6542 -0.1744 0.4246
```

Values from the calculation:
**Fermi-level density of states**: 0.0000 states/eV/atom
**Final energy**: -5.348 eV per atom
**Space group**: P2_1/c

# RbMgAlF6

A relaxed structure of RbMgAlF6 (PBEsol, Alexandria via LeMat-Bulk).

Geometry as extended XYZ:
```
18
Lattice="-4.5108 5.3745 -0.3092 -3.5141 1.9734 5.7991 1.6114 6.1216 3.1307" Properties=species:S:1:pos:R:3 pbc="T T T"
Rb -3.8390 10.8156 4.6993
Rb -2.5745 2.6540 3.9213
F -2.4968 4.4353 0.7734
F -6.2268 8.9239 6.6531
F -2.3000 5.6808 5.7393
F -4.1134 7.7888 2.8814
F -0.6319 2.2134 0.9012
F -3.9167 9.0343 7.8473
F -0.1867 4.5456 1.9675
F -4.1649 7.9027 5.6114
F -1.7110 7.9954 4.4025
F -4.7024 5.4742 4.2181
F -5.7816 11.2562 7.7194
F -2.2486 5.5669 3.0092
Al 0.8057 3.0608 1.5654
Al -1.4497 5.7481 1.4108
Mg -2.2554 2.6873 -0.1546
Mg -3.2067 6.7348 4.3103
```

Values from the calculation:
**Fermi-level density of states**: 0.0000 states/eV/atom
**Final energy**: -5.507 eV per atom
**Space group**: Imma

# InTc2Sb

A relaxed structure of InTc2Sb (PBEsol, Alexandria via LeMat-Bulk).

Geometry as extended XYZ:
```
4
Lattice="3.1229 0.0000 0.0000 -1.5614 4.2460 0.0148 0.0000 -1.1988 5.2870" Properties=species:S:1:pos:R:3 pbc="T T T"
Tc 1.5614 1.2063 3.8209
Tc 0.0000 1.8409 1.4810
Sb 0.0000 -0.5994 2.6435
In 1.5614 0.0000 0.0000
```

Values from the calculation:
**Energy above the most stable polymorph in this dataset**: 114 meV/atom
**Fermi-level density of states**: 1.1555 states/eV/atom
**Final energy**: -7.160 eV per atom
**Space group**: C2/m

# RbPrW2O8

A relaxed structure of RbPrW2O8 (PBEsol, Alexandria via LeMat-Bulk).

Geometry as extended XYZ:
```
24
Lattice="7.5860 -0.0100 0.0129 3.5129 6.7684 0.0342 -3.5129 1.7379 6.5416" Properties=species:S:1:pos:R:3 pbc="T T T"
Rb 5.6895 6.7896 5.2641
Rb 1.8965 1.7068 1.3246
W 0.3883 3.3070 4.5645
W 7.1977 5.1894 2.0241
W 4.1813 3.2510 4.5316
W 3.4047 5.2454 2.0571
O 2.0389 2.7505 4.0860
O 6.7236 4.2552 0.5100
O 3.5629 3.0470 6.2079
O 3.4597 5.0322 4.1453
O 1.7541 4.6421 1.6391
O 0.3333 5.2742 3.8323
O 0.8624 4.2412 6.0786
O 4.0231 5.4494 0.3808
O 7.8162 6.7603 1.4045
O 4.6555 1.5504 4.0089
O -0.2301 1.7361 5.1842
O 5.5471 5.7459 2.5026
O 4.1263 3.4642 2.4434
O 7.2527 3.2222 2.7564
O 5.8319 3.8542 4.9496
O 2.9306 6.9459 2.5798
Pr 1.8965 6.5677 5.0823
Pr 5.6895 1.9287 1.5064
```

Values from the calculation:
**Fermi-level density of states**: 0.0000 states/eV/atom
**Final energy**: -8.840 eV per atom
**Space group**: C2/c

# TaAu2Br

A relaxed structure of TaAu2Br (PBEsol, Alexandria via LeMat-Bulk).

Geometry as extended XYZ:
```
4
Lattice="3.3030 0.0000 0.0000 0.0000 3.2677 0.3263 0.0000 -0.7713 7.6160" Properties=species:S:1:pos:R:3 pbc="T T T"
Ta 1.6515 1.0184 6.2274
Br 0.0000 1.2168 4.2599
Au 1.6515 1.4976 1.5369
Au 0.0000 -0.7594 7.5052
```

Values from the calculation:
**Energy above the most stable polymorph in this dataset**: 0 meV/atom
**Fermi-level density of states**: 0.4444 states/eV/atom
**Final energy**: -5.545 eV per atom
**Space group**: Pm

# ErGe

A relaxed structure of ErGe (PBEsol, Alexandria via LeMat-Bulk).

Geometry as extended XYZ:
```
4
Lattice="3.8688 0.0000 0.0000 0.0000 4.1805 0.0000 0.0000 2.0903 5.2427" Properties=species:S:1:pos:R:3 pbc="T T T"
Er 0.9672 4.1805 1.4526
Er 2.9016 2.0903 3.7900
Ge 0.9672 4.1805 4.3435
Ge 2.9016 2.0903 0.8991
```

Values from the calculation:
**Fermi-level density of states**: 0.4599 states/eV/atom
**Energy of formation**: -926 meV per atom
**Final energy**: -5.859 eV per atom
**Space group**: Cmcm

# P2OsPt

A relaxed structure of P2OsPt (PBEsol, Alexandria via LeMat-Bulk).

Geometry as extended XYZ:
```
4
Lattice="-2.5834 -0.3118 -1.0422 0.1486 -4.7697 1.0587 -0.3856 3.3210 3.7318" Properties=species:S:1:pos:R:3 pbc="T T T"
Pt -1.2917 -0.1559 -0.5211
P -1.9781 -2.1705 1.7832
P -0.8423 0.4099 1.9651
Os 0.0743 -2.3849 0.5293
```

Values from the calculation:
**Energy above the most stable polymorph in this dataset**: 27 meV/atom
**Fermi-level density of states**: 0.7657 states/eV/atom
**Energy of formation**: 373 meV per atom
**Final energy**: -7.317 eV per atom
**Space group**: Immm

# BeCo3S

A relaxed structure of BeCo3S (PBEsol, Alexandria via LeMat-Bulk).

Geometry as extended XYZ:
```
5
Lattice="-2.0753 -3.2418 0.1207 1.8011 -1.0322 3.2436 -2.6981 1.8044 2.0724" Properties=species:S:1:pos:R:3 pbc="T T T"
S -1.4861 -1.2348 2.7184
Co 0.9005 -0.5161 1.6218
Co -1.3491 0.9022 1.0362
Co -1.0376 -1.6209 0.0603
Be 0.0000 0.0000 0.0000
```

Values from the calculation:
**Fermi-level density of states**: 1.4548 states/eV/atom
**Final energy**: -5.624 eV per atom
**Space group**: Pm-3m

# In2TeIr

A relaxed structure of In2TeIr (PBEsol, Alexandria via LeMat-Bulk).

Geometry as extended XYZ:
```
4
Lattice="-2.7242 -0.3883 -1.5055 -0.3191 -2.8329 1.3081 -4.2178 3.5737 6.7104" Properties=species:S:1:pos:R:3 pbc="T T T"
In -0.8259 0.6998 1.3140
In -3.3919 2.8739 5.3965
Ir -1.5216 -1.6106 -0.0987
Te -3.6305 0.1762 3.2566
```

Values from the calculation:
**Fermi-level density of states**: 0.5423 states/eV/atom
**Final energy**: -4.752 eV per atom
**Space group**: P4/mmm

# InAgIr2

A relaxed structure of InAgIr2 (PBEsol, Alexandria via LeMat-Bulk).

Geometry as extended XYZ:
```
4
Lattice="-1.1290 1.1269 -2.3588 -2.7450 0.7558 -0.0438 0.9705 9.0117 2.1219" Properties=species:S:1:pos:R:3 pbc="T T T"
Ir -2.1495 8.2750 -0.1742
Ir 0.9419 8.9055 2.0849
In -0.7452 2.6517 -0.0952
Ag -1.4318 5.5211 -0.1146
```

Values from the calculation:
**Fermi-level density of states**: 0.7458 states/eV/atom
**Energy of formation**: 253 meV per atom
**Final energy**: -6.232 eV per atom
**Space group**: R3m

# Ca2AlHg

A relaxed structure of Ca2AlHg (PBEsol, Alexandria via LeMat-Bulk).

Geometry as extended XYZ:
```
4
Lattice="-3.0110 -0.7076 1.7708 -2.6193 -0.2418 -4.5506 3.8545 -4.8744 1.0196" Properties=species:S:1:pos:R:3 pbc="T T T"
Ca -1.8137 -5.6004 -1.7353
Ca -0.9339 -3.3270 0.6693
Hg -2.7525 -0.7432 -1.3907
Al -0.8667 -2.4519 -2.4536
```

Values from the calculation:
**Energy above the most stable polymorph in this dataset**: 68 meV/atom
**Fermi-level density of states**: 0.5160 states/eV/atom
**Energy of formation**: -337 meV per atom
**Final energy**: -2.568 eV per atom
**Space group**: Cm

# RbNbAsClO5

A relaxed structure of RbNbAsClO5 (PBEsol, Alexandria via LeMat-Bulk).

Geometry as extended XYZ:
```
18
Lattice="6.7168 0.0000 0.0000 0.0000 6.7168 0.0000 0.0000 0.0000 7.6674" Properties=species:S:1:pos:R:3 pbc="T T T"
O 2.0309 3.3584 1.0738
O 1.3275 0.0000 6.5936
O 0.0000 3.3584 6.7248
O 3.3584 2.0309 6.5936
O 0.0000 5.3893 1.0738
O 3.3584 0.0000 0.9426
O 5.3893 0.0000 6.5936
O 3.3584 4.6859 6.5936
O 4.6859 3.3584 1.0738
O 0.0000 1.3275 1.0738
Nb 3.3584 0.0000 6.8656
Nb 0.0000 3.3584 0.8018
Cl 3.3584 0.0000 4.2372
Cl 0.0000 3.3584 3.4302
Rb 3.3584 3.3584 3.8337
Rb 0.0000 0.0000 3.8337
As 0.0000 0.0000 0.0000
As 3.3584 3.3584 0.0000
```

Values from the calculation:
**Fermi-level density of states**: 0.0000 states/eV/atom
**Final energy**: -6.876 eV per atom
**Space group**: P4/nmm

# ZrGaCu

A relaxed structure of ZrGaCu (PBEsol, Alexandria via LeMat-Bulk).

Geometry as extended XYZ:
```
6
Lattice="-0.4863 -3.2077 2.6433 3.7838 0.8689 -1.5621 1.1386 3.8772 4.9146" Properties=species:S:1:pos:R:3 pbc="T T T"
Zr 0.5693 1.9386 2.4573
Zr 0.0000 0.0000 0.0000
Ga 1.2218 -0.8795 2.4701
Ga 3.2144 2.4180 3.5256
Cu 1.7911 1.0591 4.9274
Cu 2.6451 0.4794 1.0683
```

Values from the calculation:
**Fermi-level density of states**: 0.8650 states/eV/atom
**Energy of formation**: -474 meV per atom
**Final energy**: -6.062 eV per atom
**Space group**: P6_3/mmc

# Be2SbP

A relaxed structure of Be2SbP (PBEsol, Alexandria via LeMat-Bulk).

Geometry as extended XYZ:
```
4
Lattice="-3.1101 -0.2219 -1.4198 -1.3866 -0.4258 3.1040 -0.6031 5.4920 0.4629" Properties=species:S:1:pos:R:3 pbc="T T T"
Be -2.5190 0.5034 1.3057
Be -0.2703 0.8277 0.4627
P -1.0984 1.8258 2.1208
Sb -2.2069 4.2205 0.0413
```

Values from the calculation:
**Fermi-level density of states**: 0.4045 states/eV/atom
**Final energy**: -4.520 eV per atom
**Space group**: Pm

# Na10EuSn12

A relaxed structure of Na10EuSn12 (PBEsol, Alexandria via LeMat-Bulk).

Geometry as extended XYZ:
```
23
Lattice="9.6221 0.0000 0.0000 -3.2074 9.0718 0.0000 -3.2074 -4.5359 7.8564" Properties=species:S:1:pos:R:3 pbc="T T T"
Na 1.6037 5.6699 1.9641
Na -1.9645 -2.7782 4.8120
Na 1.6037 -1.1340 5.8923
Na 5.8934 0.0000 0.0000
Na -1.6037 4.5359 3.9282
Na 1.2429 1.7577 3.0444
Na -1.6037 1.1340 5.8923
Na -1.9645 5.5564 0.0000
Na 4.8110 3.4019 1.9641
Na 4.8110 0.0000 3.9282
Eu 0.0000 0.0000 0.0000
Sn 1.4121 1.9970 6.4191
Sn 4.6194 6.5329 1.4373
Sn 2.9689 1.7091 0.0000
Sn 2.9689 -0.8545 1.4801
Sn -1.7953 2.5142 1.4801
Sn 3.8291 2.8515 4.9390
Sn 0.6217 -1.6844 2.9174
Sn 1.4121 4.5606 4.9390
Sn 0.6217 3.3688 0.0000
Sn 4.6194 -2.0217 6.3763
Sn -1.7953 0.0247 2.9174
Sn -3.4459 3.6814 6.3763
```

Values from the calculation:
**Fermi-level density of states**: 0.1150 states/eV/atom
**Energy of formation**: -282 meV per atom
**Final energy**: -3.572 eV per atom
**Space group**: I-43m

# Nb2Zn2Cd

A relaxed structure of Nb2Zn2Cd (PBEsol, Alexandria via LeMat-Bulk).

Geometry as extended XYZ:
```
5
Lattice="-2.0723 2.3228 2.1386 -2.5757 0.2358 -2.7520 -0.7722 -6.3125 2.7732" Properties=species:S:1:pos:R:3 pbc="T T T"
Zn -2.5842 -1.3552 2.3026
Zn -2.8359 -2.3987 -0.1427
Cd 0.0000 0.0000 0.0000
Nb -2.8984 0.3456 0.1509
Nb -2.5218 -4.0995 2.0089
```

Values from the calculation:
**Fermi-level density of states**: 0.7127 states/eV/atom
**Energy of formation**: 464 meV per atom
**Final energy**: -4.737 eV per atom
**Space group**: I4/mmm

# TlCr2As

A relaxed structure of TlCr2As (PBEsol, Alexandria via LeMat-Bulk).

Geometry as extended XYZ:
```
4
Lattice="-1.6118 2.2493 1.1401 -1.9012 -0.1958 -2.3031 -3.7646 -4.4654 3.4872" Properties=species:S:1:pos:R:3 pbc="T T T"
Cr -0.7341 -0.8707 0.6800
Cr -3.0306 -3.5946 2.8072
Tl -3.6388 -1.2059 1.1621
As -1.7565 1.0268 -0.5815
```

Values from the calculation:
**Energy above the most stable polymorph in this dataset**: 137 meV/atom
**Fermi-level density of states**: 1.1801 states/eV/atom
**Energy of formation**: 396 meV per atom
**Final energy**: -6.659 eV per atom
**Space group**: P4/mmm

# CsHg3Os

A relaxed structure of CsHg3Os (PBEsol, Alexandria via LeMat-Bulk).

Geometry as extended XYZ:
```
5
Lattice="-5.1229 -4.0458 -0.1076 3.9255 -4.9249 -1.7205 0.9850 -1.4148 6.2970" Properties=species:S:1:pos:R:3 pbc="T T T"
Hg 1.9628 -2.4624 -0.8603
Hg 0.4925 -0.7074 3.1485
Hg -2.5615 -2.0229 -0.0538
Os -0.1062 -5.1927 2.2344
Cs 0.0000 0.0000 0.0000
```

Values from the calculation:
**Fermi-level density of states**: 2.1678 states/eV/atom
**Energy of formation**: 1942 meV per atom
**Final energy**: -1.030 eV per atom
**Space group**: Pm-3m

# LiLa2TcSb

A relaxed structure of LiLa2TcSb (PBEsol, Alexandria via LeMat-Bulk).

Geometry as extended XYZ:
```
5
Lattice="4.8037 0.0000 0.0000 0.0000 5.1963 0.0000 0.0000 0.0000 5.1963" Properties=species:S:1:pos:R:3 pbc="T T T"
La 0.0000 0.0000 2.5981
La 0.0000 2.5981 0.0000
Li 2.4018 0.0000 0.0000
Sb 2.4018 2.5981 2.5981
Tc 0.0000 0.0000 0.0000
```

Values from the calculation:
**Fermi-level density of states**: 0.2743 states/eV/atom
**Final energy**: -5.860 eV per atom
**Space group**: P4/mmm